Record 1
Entry from the Alexandria database: an optimized crystal structure of LiSnAs3 (PBE-GGA).

a b c (Å): 4.709 4.709 4.709
angles (deg): 90.00 90.00 90.00
Fractional coordinates of all 5 atoms:
1 Li 0.000 0.000 0.000
2 Sn 0.500 0.500 0.500
3 As 0.000 0.000 0.500
4 As 0.000 0.500 0.000
5 As 0.500 0.000 0.000

Results
crystal system	cubic
DFT total energy	-0.263	Ry per atom
calculated formation energy	397	meV/atom
relative energy among the computed polymorphs	0.000	eV/atom

Record 2
Entry from the Alexandria database: an optimized crystal structure of LiSn2As (PBE-GGA).

a b c (Å): 4.433 4.433 4.679
angles (deg): 90.00 90.00 90.00
Fractional coordinates of all 4 atoms:
1 Li 0.000 0.000 0.000
2 Sn 0.000 0.500 0.500
3 Sn 0.500 0.000 0.500
4 As 0.500 0.500 0.000

Results
crystal system	tetragonal
DFT total energy	-0.277	Ry per atom
calculated formation energy	-120	meV/atom

Record 3
Entry from the Alexandria database: an optimized crystal structure of LiSnAs (PBE-GGA).

a b c (Å): 8.046 8.046 4.907
angles (deg): 90.10 90.10 29.34
Fractional coordinates of all 6 atoms:
1 Li 0.217 0.217 0.250
2 Li 0.783 0.783 0.750
3 Sn 0.448 0.448 0.250
4 Sn 0.552 0.552 0.750
5 As 0.162 0.162 0.749
6 As 0.838 0.838 0.251

Results
crystal system	monoclinic
DFT total energy	-0.283	Ry per atom
calculated formation energy	-334	meV/atom
relative energy among the computed polymorphs	0.040	eV/atom